## Er12Tm5Tl2 (PBE)

Data for a geometry-optimized Er12Tm5Tl2 structure.

Lattice parameters (Å, degrees): 9.1956 8.9275 8.1793 90.92 90.00 121.00
Closest atoms and distances in Å follow each position.
Atoms (fractional coordinates):
Tm 0.3125 0.6251 0.9992  2 Tl 3.36, 8 Er 3.37-3.59, 1 Tm 3.57
Tm 0.7633 0.5266 0.4165  10 Er 3.31-3.63, 2 Tm 3.57-3.67
Tm 0.2367 0.4734 0.5835  10 Er 3.31-3.63, 2 Tm 3.57-3.67
Tm 0.6875 0.3749 0.0008  2 Tl 3.36, 8 Er 3.37-3.59, 1 Tm 3.57
Tm 0.0000 0.0000 0.5000  10 Er 3.44-3.63, 2 Tm 3.67
Er 0.8223 0.2492 0.6537  6 Er 3.27-3.64, 4 Tm 3.32-3.59, 1 Tl 3.44
Er 0.9679 0.3067 0.2392  1 Tl 3.24, 5 Er 3.36-3.59, 3 Tm 3.51-3.59
Er 0.5521 0.1041 0.3213  2 Tl 3.24, 7 Er 3.27-3.44, 2 Tm 3.31-3.37
Er 0.4479 0.8959 0.6787  2 Tl 3.24, 7 Er 3.27-3.44, 2 Tm 3.31-3.37
Er 0.0902 0.1804 0.8889  2 Tl 3.30, 5 Er 3.33-3.46, 3 Tm 3.39-3.50
Er 0.1777 0.7508 0.3463  6 Er 3.27-3.64, 4 Tm 3.32-3.59, 1 Tl 3.44
Er 0.5731 0.7508 0.3463  6 Er 3.27-3.64, 4 Tm 3.32-3.59, 1 Tl 3.44
Er 0.6612 0.6933 0.7608  1 Tl 3.24, 5 Er 3.36-3.59, 3 Tm 3.51-3.59
Er 0.0321 0.6933 0.7608  1 Tl 3.24, 5 Er 3.36-3.59, 3 Tm 3.51-3.59
Er 0.9098 0.8196 0.1111  2 Tl 3.30, 5 Er 3.33-3.46, 3 Tm 3.39-3.50
Er 0.4269 0.2492 0.6537  6 Er 3.27-3.64, 4 Tm 3.32-3.59, 1 Tl 3.44
Er 0.3388 0.3067 0.2392  1 Tl 3.24, 5 Er 3.36-3.59, 3 Tm 3.51-3.59
Tl 0.6900 0.0000 0.0000  8 Er 3.24-3.44, 2 Tm 3.36, 1 Tl 3.49
Tl 0.3100 0.0000 0.0000  8 Er 3.24-3.44, 2 Tm 3.36, 1 Tl 3.49

Results
Space group = C2/m, No. 12
DFT total energy = -4.28 eV/atom



## LiSmHo (PBE)

Data for a geometry-optimized LiSmHo structure.

Lattice parameters (Å, degrees): 6.0151 4.7765 8.9010 77.72 70.25 50.98
Closest atoms and distances in Å follow each position.
Atoms (fractional coordinates):
Sm 0.4012 0.0000 0.1976  2 Li 3.01, 1 Sm 3.31
Sm 0.5988 0.0000 0.8024  2 Li 3.01, 1 Sm 3.31
Li 0.8388 0.3225 0.0000  1 Li 2.39
Li 0.1612 0.6775 0.0000  1 Li 2.39
Ho 0.2500 0.5000 0.5000  2 Ho 3.01
Ho 0.7500 0.5000 0.5000  2 Ho 3.01

Results
Energy above the most stable polymorph in this dataset = 1.13 eV/f.u.
Space group = Fmmm, No. 69
DFT total energy = -3.27 eV/atom



## CoTcPt2 (PBE)

Data for a geometry-optimized CoTcPt2 structure.

Lattice parameters (Å, degrees): 4.3385 4.3385 4.3385 60.00 60.00 60.00
Closest atoms and distances in Å follow each position.
Atoms (fractional coordinates):
Pt 0.2500 0.2500 0.2500  4 Tc 2.66, 4 Co 2.66
Pt 0.7500 0.7500 0.7500  4 Tc 2.66, 4 Co 2.66
Co 0.0000 0.0000 0.0000  8 Pt 2.66
Tc 0.5000 0.5000 0.5000  8 Pt 2.66

Results
Energy above the most stable polymorph in this dataset = 1.48 eV/f.u.
Space group = Fm-3m, No. 225
DFT total energy = -7.12 eV/atom



## RbTaBe (PBE)

Data for a geometry-optimized RbTaBe structure.

Lattice parameters (Å, degrees): 3.4138 12.8873 3.8432 81.02 90.00 90.03
Closest atoms and distances in Å follow each position.
Atoms (fractional coordinates):
Ta 0.4516 0.7936 0.8007  6 Be 2.57-2.59, 2 Ta 2.66
Ta 0.9520 0.9540 0.7167  6 Be 2.57-2.59, 2 Ta 2.66
Rb 0.4072 0.5534 0.4274  2 Rb 3.41, 2 Ta 3.61-3.62, 1 Be 3.73
Rb 0.9071 0.1938 0.0889  2 Rb 3.41, 2 Ta 3.61-3.62, 1 Be 3.73
Be 0.4515 0.9277 0.2306  2 Be 2.19
Be 0.9513 0.8200 0.2869  2 Be 2.19

Results
Energy above the most stable polymorph in this dataset = 0.00 eV/f.u.
Space group = P2_1, No. 4
DFT total energy = -5.06 eV/atom



Number 1: ΔE_f 0.028 eV per atom. Number 2: ΔE_f 0.465 eV per atom. Number 3: ΔE_f 0.269 eV per atom. Number 4: ΔE_f 0.451 eV per atom.